A geometry-optimized LiAlRe structure. Source: Alexandria via LeMat-Bulk, functional PBE.

Cell and atoms, written as POSCAR:
```
LiAlRe
1.0
-1.382 3.908 0.380
-3.563 0.761 2.014
0.069 1.880 3.713
Al Li Re
1 1 1
Cartesian
-1.219 1.638 1.527
0.000 0.000 0.000
-2.438 3.275 3.053
```

ΔE to the lowest computed polymorph: 0.783 eV/atom
N(E_F): 0.44 states/eV per atom
Symmetry: No. 216

=====

A geometry-optimized Li3AlRe structure. Source: Alexandria via LeMat-Bulk, functional PBE.

Cell and atoms, written as POSCAR:
```
Li3AlRe
1.0
-1.964 -4.303 -0.791
4.357 -1.846 -0.778
0.394 -1.038 4.666
Re Al Li
1 1 3
Cartesian
0.000 0.000 0.000
1.393 -3.593 1.548
2.179 -0.923 -0.389
0.197 -0.519 2.333
-0.982 -2.152 -0.396
```

ΔE to the lowest computed polymorph: 0.026 eV/atom
N(E_F): 2.27 states/eV per atom
Symmetry: No. 221

=====

A geometry-optimized LiAl2Re structure. Source: Alexandria via LeMat-Bulk, functional PBE.

Cell and atoms, written as POSCAR:
```
LiAl2Re
1.0
-3.144 -0.788 0.775
-0.644 -0.595 -3.216
1.444 -5.116 0.657
Al Li Re
2 1 1
Cartesian
1.394 -4.941 0.635
-1.512 -2.044 -1.047
0.729 -2.585 0.332
-0.790 -4.603 -0.718
```

N(E_F): 0.98 states/eV per atom
Symmetry: No. 99

=====

no.,ΔE_f (eV/f.u.)
1,2.45
2,7.00
3,0.52